No. 1
GGA-PBE Ca2CeDySe4, relaxed; space-group type = No. 10; ΔE_f (raw) = -14.901 eV per formula unit
1.0
7.1853 0.0000 0.0000
0.0000 4.1447 0.0000
-2.3885 0.0000 6.9177
Ca Ce Dy Se
2 1 1 4
direct
0.0000 0.0000 0.0000 Ca
0.5000 0.5000 0.0000 Ca
0.0000 0.5000 0.5000 Ce
0.5000 0.0000 0.5000 Dy
0.2574 0.0000 0.7535 Se
0.2566 0.5000 0.2518 Se
0.7426 0.0000 0.2465 Se
0.7434 0.5000 0.7482 Se


No. 2
GGA-PBE CaCeSmDy, relaxed; space-group type = No. 216; energy of formation = 0.24 eV/atom
1.0
0.0000 4.0933 4.0933
4.0933 0.0000 4.0933
4.0933 4.0933 0.0000
Ca Ce Sm Dy
1 1 1 1
direct
0.0000 0.0000 0.0000 Ca
0.5000 0.5000 0.5000 Ce
0.2500 0.2500 0.2500 Sm
0.7500 0.7500 0.7500 Dy


No. 3
GGA-PBE CaTbCeDy, relaxed; space-group type = No. 216; energy of formation = 0.24 eV/atom
1.0
0.0000 4.0725 4.0725
4.0725 0.0000 4.0725
4.0725 4.0725 0.0000
Ca Tb Ce Dy
1 1 1 1
direct
0.0000 0.0000 0.0000 Ca
0.7500 0.7500 0.7500 Tb
0.5000 0.5000 0.5000 Ce
0.2500 0.2500 0.2500 Dy


Number 1: electronic total energy -5.42 eV per atom, volume 206.0 Å³ per cell. Number 2: electronic total energy -4.07 eV per atom, volume 137.2 Å³ per cell. Number 3: electronic total energy -4.05 eV per atom, volume 135.1 Å³ per cell.